DFT (GGA-PBE) results for an optimized crystal structure of TlFeTcAg.

Properties
E (eV per formula unit): -21.00
Magnetization (μB/f.u.): 3.8
Symmetry: F-43m (216)

```
4
Lattice="-3.2716 -0.4454 -3.1667 -3.2741 3.1740 -0.3685 -0.0768 2.7977 -3.6189" Properties=species:S:1:pos:R:3 pbc="T T T"
Ag -1.6556 1.3816 -1.7885
Fe -4.9669 4.1447 -5.3656
Tc -3.3113 2.7631 -3.5771
Tl 0.0000 0.0000 0.0000
```